(1)
Material: Li10B14Cl2O25
Method: DFT, meta-GGA SCAN
State: single point on PBEsol structure

- formation energy (no corrections) (meV/atom) = -2596
- magnetic moment (Bohr magnetons per cell) = 0.0

a = 8.5500 Å, b = 8.5500 Å, c = 8.5500 Å
α = 60.00°, β = 60.00°, γ = 60.00°
With the nearest neighbours (Å) after each atom.
Fractional coordinates of all 51 atoms:
O: 0.7402 0.0638 0.9002  2 B 1.43-1.48
O: 0.0638 0.9002 0.7402  2 B 1.43-1.48
Cl: 0.7500 0.7500 0.7500  6 Li 2.50
O: 0.9002 0.0638 0.2959  2 B 1.43-1.48
O: 0.3956 0.2392 0.8038  2 B 1.38-1.47
O: 0.2959 0.0638 0.7402  2 B 1.43-1.48
O: 0.3956 0.5614 0.2392  2 B 1.38-1.47
B: 0.7494 0.2506 0.2506  4 O 1.47-1.48
O: 0.2392 0.8038 0.3956  2 B 1.38-1.47
O: 0.0638 0.2959 0.9002  2 B 1.43-1.48
O: 0.2392 0.5614 0.8038  2 B 1.38-1.47
Li: 0.5436 0.5436 0.9564  4 O 2.05-2.14
O: 0.7402 0.2959 0.0638  2 B 1.43-1.48
O: 0.2959 0.9002 0.0638  2 B 1.43-1.48
O: 0.9002 0.2959 0.7402  2 B 1.43-1.48
O: 0.5614 0.2392 0.3956  2 B 1.38-1.47
Li: 0.9564 0.5436 0.9564  4 O 2.05-2.14
O: 0.8038 0.5614 0.3956  2 B 1.38-1.47
B: 0.7494 0.7494 0.2506  4 O 1.47-1.48
Li: 0.5436 0.9564 0.9564  4 O 2.05-2.14
Li: 0.1354 0.1354 0.1354  3 O 1.98
B: 0.3990 0.8029 0.3990  3 O 1.38
Li: 0.9564 0.5436 0.5436  4 O 2.05-2.14
B: 0.3990 0.3990 0.3990  3 O 1.38
B: 0.2414 0.9195 0.9195  3 O 1.43
Li: 0.5939 0.1354 0.1354  3 O 1.98
B: 0.2506 0.7494 0.7494  4 O 1.47-1.48
B: 0.3990 0.3990 0.8029  3 O 1.38
B: 0.9195 0.9195 0.2414  3 O 1.43
O: 0.2959 0.7402 0.9002  2 B 1.43-1.48
O: 0.3956 0.8038 0.5614  2 B 1.38-1.47
B: 0.2506 0.2506 0.7494  4 O 1.47-1.48
B: 0.8029 0.3990 0.3990  3 O 1.38
O: 0.8038 0.3956 0.2392  2 B 1.38-1.47
O: 0.5614 0.3956 0.8038  2 B 1.38-1.47
B: 0.9195 0.9195 0.9195  3 O 1.43
Li: 0.1354 0.1354 0.5939  3 O 1.98
O: 0.7402 0.9002 0.2959  2 B 1.43-1.48
Cl: 0.2500 0.2500 0.2500  4 Li 2.40
O: 0.0000 0.0000 0.0000  4 B 1.68
B: 0.2506 0.7494 0.2506  4 O 1.47-1.48
O: 0.9002 0.7402 0.0638  2 B 1.43-1.48
B: 0.9195 0.2414 0.9195  3 O 1.43
O: 0.5614 0.8038 0.2392  2 B 1.38-1.47
Li: 0.5436 0.9564 0.5436  4 O 2.05-2.14
O: 0.0638 0.7402 0.2959  2 B 1.43-1.48
Li: 0.1354 0.5939 0.1354  3 O 1.98
B: 0.7494 0.2506 0.7494  4 O 1.47-1.48
O: 0.2392 0.3956 0.5614  2 B 1.38-1.47
Li: 0.9564 0.9564 0.5436  4 O 2.05-2.14
O: 0.8038 0.2392 0.5614  2 B 1.38-1.47



(2)
Material: Mn2SnPdO
Method: DFT, meta-GGA SCAN
State: single point on PBEsol structure

- formation energy (no corrections) (meV/atom) = 962
- magnetic moment (Bohr magnetons per cell) = 11.0

a = 4.8590 Å, b = 5.0595 Å, c = 5.0595 Å
α = 90.00°, β = 90.00°, γ = 90.00°
With the nearest neighbours (Å) after each atom.
Fractional coordinates of all 5 atoms:
Sn: 0.0000 0.0000 0.0000  2 Pd 2.43, 4 Mn 2.53
Pd: 0.5000 0.0000 0.0000  2 Sn 2.43
O: 0.5000 0.5000 0.5000  8 Mn 3.51, 4 Pd 3.58
Mn: 0.0000 0.0000 0.5000  2 Sn 2.53
Mn: 0.0000 0.5000 0.0000  2 Sn 2.53



(3)
Material: Zn2TcNi
Method: DFT, meta-GGA SCAN
State: single point on PBEsol structure

- distance to the lowest polymorph of the same formula (meV per atom) = 2
- magnetic moment (Bohr magnetons per cell) = 0.0
- energy of formation from the pure elements (eV per formula unit) = 0.16

a = 2.5090 Å, b = 4.1433 Å, c = 4.9225 Å
α = 90.00°, β = 97.67°, γ = 90.00°
With the nearest neighbours (Å) after each atom.
Fractional coordinates of all 4 atoms:
Tc: 0.0000 0.5000 0.5000  2 Tc 2.51, 2 Ni 2.61, 4 Zn 2.62
Zn: 0.6733 0.0000 0.7582  2 Ni 2.46, 5 Zn 2.51-2.70, 2 Tc 2.62
Zn: 0.3267 0.0000 0.2418  2 Ni 2.46, 5 Zn 2.51-2.70, 2 Tc 2.62
Ni: 0.5000 0.5000 0.0000  4 Zn 2.46, 2 Ni 2.51, 2 Tc 2.61